Record 1
Cs2Bi2Pd: relaxed, GGA-PBE.

Properties
ΔE to the lowest computed polymorph: 0.00 eV per formula unit
Space-group type: Cmcm (63)

a = 8.691 Å, b = 8.691 Å, c = 6.987 Å
α = 90.00°, β = 90.00°, γ = 128.39°
Fractional coordinates of all 10 atoms:
Bi1 0.096 0.298 0.250
Bi2 0.702 0.904 0.250
Bi3 0.298 0.096 0.750
Bi4 0.904 0.702 0.750
Cs1 0.603 0.397 0.250
Cs2 0.193 0.807 0.250
Cs3 0.807 0.193 0.750
Cs4 0.397 0.603 0.750
Pd1 0.000 0.000 0.000
Pd2 0.000 0.000 0.500

=====

Record 2
CsBiPdS3: relaxed, GGA-PBE.

Properties
Space-group type: P2_1/m (11)
Final energy: -4.26 eV/atom

a = 9.337 Å, b = 4.195 Å, c = 9.846 Å
α = 90.00°, β = 108.42°, γ = 90.00°
Fractional coordinates of all 12 atoms:
Bi1 0.164 0.750 0.132
Bi2 0.836 0.250 0.868
Cs1 0.695 0.750 0.238
Cs2 0.305 0.250 0.762
Pd1 0.423 0.250 0.415
Pd2 0.577 0.750 0.585
S1 0.367 0.250 0.143
S2 0.956 0.250 0.150
S3 0.318 0.750 0.452
S4 0.682 0.250 0.548
S5 0.044 0.750 0.850
S6 0.633 0.750 0.857

=====

Question: Which formula does entry 2 have?
Answer: CsBiPdS3